This record from the Alexandria database describes an optimized crystal structure of KNiOs2. The functional is GGA-PBE.

Cell and atoms, written as CIF:
```
data_KNiOs2
_cell_length_a 2.7182
_cell_length_b 2.7182
_cell_length_c 30.1667
_cell_angle_alpha 90.00
_cell_angle_beta 90.00
_cell_angle_gamma 120.00
_space_group_name_H-M_alt 'R -3 m'
_space_group_IT_number 166
_space_group_name_Hall '-R 3 2"'
loop_
_atom_site_label
_atom_site_fract_x
_atom_site_fract_y
_atom_site_fract_z
_atom_site_occupancy
K1 0.0000 0.0000 0.0000 1
Ni1 0.0000 0.0000 0.5000 1
Os1 0.0000 0.0000 0.2349 1
```

Values from the calculation:
* density: 12.342 g/cm³
* electronic total energy: -78.32 eV for the cell shown
* offset from the most stable computed form: 88.6 meV per atom
* D(E_F): 12.6 states/eV/cell
* energy relative to the elements: 0.808 eV per atom